# 1
RbNb2CrBi: PBEsol geometry, SCAN.

Calculated values
The value obtained for the formation energy is 24.4 kcal/mol of atoms. Its density of states at the Fermi level is 3.1 states/eV/cell.

Lattice parameters (Å, degrees): 4.7731 4.7731 5.2842 90.00 90.00 90.00
With the nearest neighbours (Å) after each atom.
Fractional coordinates of all 5 atoms:
Rb: 0.0000 0.0000 0.0000  4 Bi 3.38, 8 Nb 3.56
Nb: 0.0000 0.5000 0.5000  2 Cr 2.39
Nb: 0.5000 0.0000 0.5000  2 Cr 2.39
Cr: 0.5000 0.5000 0.5000  4 Nb 2.39, 2 Bi 2.64
Bi: 0.5000 0.5000 0.0000  2 Cr 2.64

***

# 2
RbCrNi2Bi: PBEsol geometry, SCAN.

Calculated values
The value obtained for the formation energy is 31.4 kcal/mol of atoms. Its density of states at the Fermi level is 4.7 states/eV/cell.

Lattice parameters (Å, degrees): 4.6300 4.6300 5.0723 90.00 90.00 90.00
With the nearest neighbours (Å) after each atom.
Fractional coordinates of all 5 atoms:
Rb: 0.0000 0.0000 0.0000  2 Cr 2.54
Cr: 0.0000 0.0000 0.5000  4 Ni 2.31, 2 Rb 2.54
Ni: 0.0000 0.5000 0.5000  2 Cr 2.31
Ni: 0.5000 0.0000 0.5000  2 Cr 2.31
Bi: 0.5000 0.5000 0.0000  4 Rb 3.27, 8 Ni 3.43

***

# 3
CrBiO4: PBEsol geometry, SCAN.

Calculated values
The calculation puts the formation energy without anion corrections at -9.93 eV/f.u. Its density of states at the Fermi level is 0.2 states/eV/cell.

Lattice parameters (Å, degrees): 6.7802 7.1572 8.2085 90.00 126.82 90.00
With the nearest neighbours (Å) after each atom.
Fractional coordinates of all 24 atoms:
Cr: 0.1940 0.1625 0.2995  4 O 1.66-1.73
Cr: 0.1940 0.3375 0.7995  4 O 1.66-1.73
Cr: 0.8060 0.6625 0.2005  4 O 1.66-1.73
Cr: 0.8060 0.8375 0.7005  4 O 1.66-1.73
Bi: 0.2843 0.6474 0.2125  6 O 2.30-2.46
Bi: 0.2843 0.8526 0.7125  6 O 2.30-2.46
Bi: 0.7157 0.1474 0.2875  6 O 2.30-2.46
Bi: 0.7157 0.3526 0.7875  6 O 2.30-2.46
O: 0.1128 0.7108 0.3888  1 Cr 1.73
O: 0.1128 0.7892 0.8888  1 Cr 1.73
O: 0.1339 0.1030 0.4707  1 Cr 1.73
O: 0.1339 0.3970 0.9707  1 Cr 1.73
O: 0.3199 0.5105 0.7536  1 Cr 1.67
O: 0.3199 0.9895 0.2536  1 Cr 1.67
O: 0.3712 0.1477 0.8886  1 Cr 1.66
O: 0.3712 0.3523 0.3886  1 Cr 1.66
O: 0.6288 0.6477 0.6114  1 Cr 1.66
O: 0.6288 0.8523 0.1114  1 Cr 1.66
O: 0.6801 0.0105 0.7464  1 Cr 1.67
O: 0.6801 0.4895 0.2464  1 Cr 1.67
O: 0.8661 0.6030 0.0293  1 Cr 1.73
O: 0.8661 0.8970 0.5293  1 Cr 1.73
O: 0.8872 0.2108 0.1112  1 Cr 1.73
O: 0.8872 0.2892 0.6112  1 Cr 1.73

***

# 4
CrBi14O24: PBEsol geometry, SCAN.

Calculated values
The calculation puts the formation energy without anion corrections at -48.30 eV/f.u. Its density of states at the Fermi level is 0.0 states/eV/cell.

Lattice parameters (Å, degrees): 8.6379 8.6549 10.4376 65.61 65.65 89.57
With the nearest neighbours (Å) after each atom.
Fractional coordinates of all 39 atoms:
Cr: 0.0000 0.0000 0.0000  4 O 1.65-1.66
Bi: 0.0548 0.4316 0.6888  3 O 2.13-2.25
Bi: 0.1199 0.9127 0.3587  3 O 2.12-2.25
Bi: 0.1994 0.4092 0.0292  4 O 2.25-2.32
Bi: 0.2762 0.8432 0.6894  3 O 2.13-2.25
Bi: 0.3334 0.3049 0.3518  6 O 2.35-2.63
Bi: 0.4343 0.7561 0.0301  4 O 2.25-2.29
Bi: 0.4581 0.2484 0.6880  3 O 2.12-2.25
Bi: 0.5370 0.6893 0.3572  3 O 2.14-2.26
Bi: 0.5512 0.1734 0.0260  4 O 2.26-2.28
Bi: 0.6508 0.6288 0.7046  5 O 2.34-2.59
Bi: 0.7221 0.0945 0.3568  3 O 2.13-2.25
Bi: 0.7845 0.5197 0.0253  4 O 2.24-2.26
Bi: 0.8675 0.0205 0.6947  3 O 2.14-2.27
Bi: 0.9409 0.5063 0.3623  3 O 2.13-2.26
O: 0.0021 0.2994 0.5237  2 Bi 2.13-2.27
O: 0.0098 0.1628 0.0431  1 Cr 1.66
O: 0.0941 0.8488 0.0811  1 Cr 1.65
O: 0.1011 0.0751 0.8053  1 Cr 1.66
O: 0.1110 0.5918 0.7890  2 Bi 2.19-2.21
O: 0.1670 0.9742 0.5180  2 Bi 2.12-2.25
O: 0.2317 0.5112 0.1904  4 Bi 2.25-2.40
O: 0.2891 0.2017 0.1851  4 Bi 2.25-2.41
O: 0.3315 0.4664 0.5148  2 Bi 2.14-2.25
O: 0.3761 0.8495 0.2625  2 Bi 2.19
O: 0.3907 0.6735 0.8678  4 Bi 2.25-2.42
O: 0.4464 0.3621 0.8685  4 Bi 2.27-2.43
O: 0.4975 0.7895 0.5350  2 Bi 2.13-2.26
O: 0.4989 0.1423 0.5147  2 Bi 2.13-2.25
O: 0.5396 0.5675 0.1870  4 Bi 2.26-2.40
O: 0.6009 0.2620 0.1840  4 Bi 2.25-2.41
O: 0.6114 0.0848 0.7929  2 Bi 2.20
O: 0.6621 0.4681 0.5349  2 Bi 2.12-2.26
O: 0.6975 0.7271 0.8698  4 Bi 2.24-2.44
O: 0.7588 0.4171 0.8681  4 Bi 2.24-2.43
O: 0.7954 0.9226 0.0587  1 Cr 1.65
O: 0.8204 0.9570 0.5350  2 Bi 2.14-2.25
O: 0.8804 0.3450 0.2644  2 Bi 2.17-2.21
O: 0.9901 0.6347 0.5277  2 Bi 2.13-2.25

***

# 5
CrBi2O: PBEsol geometry, SCAN.

Calculated values
The calculation puts the formation energy without anion corrections at 0.78 eV/f.u. Its density of states at the Fermi level is 5.6 states/eV/cell.

Lattice parameters (Å, degrees): 6.0806 6.0806 6.0806 110.71 110.71 107.03
With the nearest neighbours (Å) after each atom.
Fractional coordinates of all 8 atoms:
Cr: 0.0000 0.0000 0.0000  4 Bi 2.90
Cr: 0.7500 0.2500 0.5000  4 Bi 2.90
Bi: 0.1853 0.6250 0.0603  2 O 2.35
Bi: 0.3750 0.4353 0.5603  2 O 2.35
Bi: 0.5647 0.1250 0.9397  2 O 2.35
Bi: 0.8750 0.8147 0.4397  2 O 2.35
O: 0.2500 0.7500 0.5000  4 Bi 2.35
O: 0.5000 0.5000 0.0000  4 Bi 2.35

***

# 6
CrBiO4: PBEsol geometry, SCAN.

Calculated values
The calculation puts the formation energy without anion corrections at -9.91 eV/f.u. Its density of states at the Fermi level is 4.9 states/eV/cell.

Lattice parameters (Å, degrees): 6.0433 6.0433 6.0433 106.23 106.23 116.17
With the nearest neighbours (Å) after each atom.
Fractional coordinates of all 12 atoms:
Cr: 0.3750 0.6250 0.7500  4 O 1.70
Cr: 0.6250 0.3750 0.2500  4 O 1.70
Bi: 0.1250 0.8750 0.2500  8 O 2.39-2.46
Bi: 0.8750 0.1250 0.7500  8 O 2.39-2.46
O: 0.2024 0.2741 0.5717  1 Cr 1.70
O: 0.2024 0.6308 0.9283  1 Cr 1.70
O: 0.2741 0.2024 0.0717  1 Cr 1.70
O: 0.3692 0.7976 0.5717  1 Cr 1.70
O: 0.6308 0.2024 0.4283  1 Cr 1.70
O: 0.7259 0.7976 0.9283  1 Cr 1.70
O: 0.7976 0.3692 0.0717  1 Cr 1.70
O: 0.7976 0.7259 0.4283  1 Cr 1.70

***

# 7
CrBiPO2: PBEsol geometry, SCAN.

Calculated values
The calculation puts the formation energy without anion corrections at 0.49 eV/f.u. Its density of states at the Fermi level is 3.1 states/eV/cell.

Lattice parameters (Å, degrees): 4.0919 4.0919 5.4048 90.00 90.00 90.00
With the nearest neighbours (Å) after each atom.
Fractional coordinates of all 5 atoms:
Cr: 0.0000 0.0000 0.0000  4 P 2.89
Bi: 0.5000 0.5000 0.5000  4 O 2.05
P: 0.5000 0.5000 0.0000  2 Bi 2.70, 4 Cr 2.89
O: 0.0000 0.5000 0.5000  2 Bi 2.05
O: 0.5000 0.0000 0.5000  2 Bi 2.05

***

# 8
RbCr2BiO8: PBEsol geometry, SCAN.

Calculated values
The calculation puts the formation energy without anion corrections at -22.26 eV/f.u. Its density of states at the Fermi level is 0.0 states/eV/cell.

Lattice parameters (Å, degrees): 10.0435 13.0387 5.6283 90.00 90.00 90.00
With the nearest neighbours (Å) after each atom.
Fractional coordinates of all 48 atoms:
Rb: 0.0783 0.2500 0.2500  6 O 2.85-3.15
Rb: 0.4217 0.7500 0.2500  6 O 2.85-3.15
Rb: 0.5783 0.2500 0.7500  6 O 2.85-3.15
Rb: 0.9217 0.7500 0.7500  6 O 2.85-3.15
Cr: 0.0851 0.5842 0.2325  4 O 1.62-1.67
Cr: 0.0851 0.9158 0.2675  4 O 1.62-1.67
Cr: 0.4149 0.0842 0.2675  4 O 1.62-1.67
Cr: 0.4149 0.4158 0.2325  4 O 1.62-1.67
Cr: 0.5851 0.5842 0.7675  4 O 1.62-1.67
Cr: 0.5851 0.9158 0.7325  4 O 1.62-1.67
Cr: 0.9149 0.0842 0.7325  4 O 1.62-1.67
Cr: 0.9149 0.4158 0.7675  4 O 1.62-1.67
Bi: 0.2500 0.0000 0.8110  4 O 2.25-2.36
Bi: 0.2500 0.5000 0.6890  4 O 2.25-2.36
Bi: 0.7500 0.0000 0.1890  4 O 2.25-2.36
Bi: 0.7500 0.5000 0.3110  4 O 2.25-2.36
O: 0.0756 0.1130 0.7111  1 Cr 1.66
O: 0.0756 0.3870 0.7889  1 Cr 1.66
O: 0.1019 0.0344 0.1846  1 Cr 1.62
O: 0.1019 0.4656 0.3154  1 Cr 1.62
O: 0.1584 0.6016 0.9684  1 Cr 1.67
O: 0.1576 0.6513 0.4429  1 Cr 1.64
O: 0.1576 0.8487 0.0571  1 Cr 1.64
O: 0.1584 0.8984 0.5316  1 Cr 1.67
O: 0.3416 0.1016 0.5316  1 Cr 1.67
O: 0.3424 0.1513 0.0571  1 Cr 1.64
O: 0.3424 0.3487 0.4429  1 Cr 1.64
O: 0.3416 0.3984 0.9684  1 Cr 1.67
O: 0.3981 0.5344 0.3154  1 Cr 1.62
O: 0.3981 0.9656 0.1846  1 Cr 1.62
O: 0.4244 0.6130 0.7889  1 Cr 1.66
O: 0.4244 0.8870 0.7111  1 Cr 1.66
O: 0.5756 0.1130 0.2889  1 Cr 1.66
O: 0.5756 0.3870 0.2111  1 Cr 1.66
O: 0.6019 0.0344 0.8154  1 Cr 1.62
O: 0.6019 0.4656 0.6846  1 Cr 1.62
O: 0.6584 0.6016 0.0316  1 Cr 1.67
O: 0.6576 0.6513 0.5571  1 Cr 1.64
O: 0.6576 0.8487 0.9429  1 Cr 1.64
O: 0.6584 0.8984 0.4684  1 Cr 1.67
O: 0.8416 0.1016 0.4684  1 Cr 1.67
O: 0.8424 0.1513 0.9429  1 Cr 1.64
O: 0.8424 0.3487 0.5571  1 Cr 1.64
O: 0.8416 0.3984 0.0316  1 Cr 1.67
O: 0.8981 0.5344 0.6846  1 Cr 1.62
O: 0.8981 0.9656 0.8154  1 Cr 1.62
O: 0.9244 0.6130 0.2111  1 Cr 1.66
O: 0.9244 0.8870 0.2889  1 Cr 1.66

***

# 9
SrCr2BiO6: PBEsol geometry, SCAN.

Calculated values
The calculation puts the formation energy without anion corrections at -22.88 eV/f.u. Its density of states at the Fermi level is 6.8 states/eV/cell.

Lattice parameters (Å, degrees): 5.4119 5.4119 5.4119 60.36 60.36 60.36
With the nearest neighbours (Å) after each atom.
Fractional coordinates of all 10 atoms:
Sr: 0.0000 0.0000 0.0000  6 O 2.48-2.66
Cr: 0.2466 0.2466 0.2466  6 O 1.92-1.97
Cr: 0.7491 0.7491 0.7491  6 O 1.91-1.98
Bi: 0.5179 0.5179 0.5179  6 O 2.36-2.41
O: 0.0551 0.4944 0.9318  2 Cr 1.91-1.97
O: 0.4485 0.9741 0.5401  2 Cr 1.92-1.98
O: 0.4944 0.9318 0.0551  2 Cr 1.91-1.97
O: 0.5401 0.4485 0.9741  2 Cr 1.92-1.98
O: 0.9318 0.0551 0.4944  2 Cr 1.91-1.97
O: 0.9741 0.5401 0.4485  2 Cr 1.92-1.98

***

# 10
ZnCrBiO5: PBEsol geometry, SCAN.

Calculated values
The calculation puts the formation energy without anion corrections at -12.99 eV/f.u. Its density of states at the Fermi level is 9.7 states/eV/cell.

Lattice parameters (Å, degrees): 5.2578 11.5560 7.8544 90.00 113.20 90.00
With the nearest neighbours (Å) after each atom.
Fractional coordinates of all 32 atoms:
Zn: 0.0517 0.0814 0.1720  6 O 1.99-2.22
Zn: 0.0517 0.4186 0.6720  6 O 1.99-2.22
Zn: 0.9483 0.5814 0.3280  6 O 1.99-2.22
Zn: 0.9483 0.9186 0.8280  6 O 1.99-2.22
Cr: 0.3147 0.6470 0.0308  4 O 1.70-1.72
Cr: 0.3147 0.8530 0.5308  4 O 1.70-1.72
Cr: 0.6853 0.1470 0.4692  4 O 1.70-1.72
Cr: 0.6853 0.3530 0.9692  4 O 1.70-1.72
Bi: 0.4300 0.1009 0.8201  5 O 2.19-2.39
Bi: 0.4300 0.3991 0.3201  5 O 2.19-2.39
Bi: 0.5700 0.6009 0.6799  5 O 2.19-2.39
Bi: 0.5700 0.8991 0.1799  5 O 2.19-2.39
O: 0.1897 0.7139 0.4924  1 Cr 1.72
O: 0.1897 0.7861 0.9924  1 Cr 1.72
O: 0.1991 0.5700 0.1700  1 Cr 1.70
O: 0.1991 0.9300 0.6700  1 Cr 1.70
O: 0.2572 0.5753 0.8306  1 Cr 1.70
O: 0.2572 0.9247 0.3306  1 Cr 1.70
O: 0.2600 0.0252 0.0153  2 Zn 2.05-2.11, 2 Bi 2.19-2.23
O: 0.2600 0.4748 0.5153  2 Zn 2.05-2.11, 2 Bi 2.19-2.23
O: 0.3440 0.1784 0.3567  1 Cr 1.70
O: 0.3440 0.3216 0.8567  1 Cr 1.70
O: 0.6560 0.6784 0.1433  1 Cr 1.70
O: 0.6560 0.8216 0.6433  1 Cr 1.70
O: 0.7400 0.5252 0.4847  2 Zn 2.05-2.11, 2 Bi 2.19-2.23
O: 0.7400 0.9748 0.9847  2 Zn 2.05-2.11, 2 Bi 2.19-2.23
O: 0.7428 0.0753 0.6694  1 Cr 1.70
O: 0.7428 0.4247 0.1694  1 Cr 1.70
O: 0.8009 0.0700 0.3300  1 Cr 1.70
O: 0.8009 0.4300 0.8300  1 Cr 1.70
O: 0.8103 0.2139 0.0076  1 Cr 1.72
O: 0.8103 0.2861 0.5076  1 Cr 1.72

***

Which formula does entry 2 have?
RbCrNi2Bi